# Tm5Ge10Ir4

A relaxed structure of Tm5Ge10Ir4 (PBE, the Open Quantum Materials Database).

abc: 12.978 12.978 4.291
angles: 90.00 90.00 90.00
Fractional positions:
Tm (0.000, 0.000, 0.000)
Tm (0.115, 0.385, 0.500)
Tm (0.173, 0.673, 0.500)
Tm (0.327, 0.173, 0.500)
Tm (0.385, 0.885, 0.500)
Tm (0.500, 0.500, 0.000)
Tm (0.615, 0.115, 0.500)
Tm (0.673, 0.827, 0.500)
Tm (0.827, 0.327, 0.500)
Tm (0.885, 0.615, 0.500)
Ge (0.007, 0.845, 0.500)
Ge (0.067, 0.567, 0.000)
Ge (0.155, 0.007, 0.500)
Ge (0.164, 0.200, 0.000)
Ge (0.200, 0.836, 0.000)
Ge (0.300, 0.336, 0.000)
Ge (0.336, 0.700, 0.000)
Ge (0.345, 0.507, 0.500)
Ge (0.433, 0.067, 0.000)
Ge (0.493, 0.345, 0.500)
Ge (0.507, 0.655, 0.500)
Ge (0.567, 0.933, 0.000)
Ge (0.655, 0.493, 0.500)
Ge (0.664, 0.300, 0.000)
Ge (0.700, 0.664, 0.000)
Ge (0.800, 0.164, 0.000)
Ge (0.836, 0.800, 0.000)
Ge (0.845, 0.993, 0.500)
Ge (0.933, 0.433, 0.000)
Ge (0.993, 0.155, 0.500)
Ir (0.020, 0.753, 0.000)
Ir (0.247, 0.020, 0.000)
Ir (0.253, 0.520, 0.000)
Ir (0.480, 0.253, 0.000)
Ir (0.520, 0.747, 0.000)
Ir (0.747, 0.480, 0.000)
Ir (0.753, 0.980, 0.000)
Ir (0.980, 0.247, 0.000)

Computed properties:
The space group is P4/mbm, No. 127. As for the crystal system: tetragonal. Its total energy is -6.226 eV per atom.